(1)
AgMo2Cl: relaxed, GGA-PBE.

## Properties
- Crystal system: cubic
- Magnetic moment: 0.00 μB/f.u.
- Space-group type: Fm-3m, No. 225
- Energy relative to the elements, uncorrected: 4.20 eV/f.u.

Cell: 4.488 4.488 4.488 Å, 60.00 60.00 60.00°
Sites, in units of the cell vectors:
Mo (0.250, 0.250, 0.250)
Mo (0.750, 0.750, 0.750)
Ag (0.500, 0.500, 0.500)
Cl (0.000, 0.000, 0.000)

(2)
NiPt4Rh5: relaxed, GGA-PBE.

## Properties
- Crystal system: tetragonal
- Magnetic moment: 0.01 μB/f.u.
- Space-group type: P4/mmm, No. 123
- DFT formation energy: -10 meV per atom

Cell: 2.755 2.755 19.097 Å, 90.00 90.00 90.00°
Sites, in units of the cell vectors:
Ni (0.000, 0.000, 0.000)
Pt (0.000, 0.000, 0.192)
Pt (0.000, 0.000, 0.397)
Pt (0.000, 0.000, 0.603)
Pt (0.000, 0.000, 0.808)
Rh (0.500, 0.500, 0.088)
Rh (0.500, 0.500, 0.294)
Rh (0.500, 0.500, 0.500)
Rh (0.500, 0.500, 0.706)
Rh (0.500, 0.500, 0.912)

(3)
TmThNiAu: relaxed, GGA-PBE.

## Properties
- Crystal system: cubic
- Magnetic moment: 0.00 μB/f.u.
- Space-group type: F-43m, No. 216
- DFT formation energy: -479 meV per atom

Cell: 5.034 5.034 5.034 Å, 60.00 60.00 60.00°
Sites, in units of the cell vectors:
Ni (0.750, 0.750, 0.750)
Tm (0.500, 0.500, 0.500)
Au (0.250, 0.250, 0.250)
Th (0.000, 0.000, 0.000)